No. 1
DFT (PBE) results for Li2BeSi after structural relaxation.

Calculated values
- formation energy without anion corrections (eV/atom) = 0.024
- spin magnetization (μB per formula unit) = 0.00

a b c (Å): 3.360 3.650 4.048
angles (deg): 90.00 90.00 90.00
Fractional coordinates of all 4 atoms:
Li: 0.500 0.500 0.000
Li: 0.000 0.000 0.000
Be: 0.000 0.500 0.500
Si: 0.500 0.000 0.500

---

No. 2
DFT (PBE) results for LiBeSi3 after structural relaxation.

Calculated values
- formation energy without anion corrections (eV/atom) = 1.117
- spin magnetization (μB per formula unit) = 0.00

a b c (Å): 4.310 4.310 4.310
angles (deg): 90.00 90.00 90.00
Fractional coordinates of all 5 atoms:
Be: 0.500 0.500 0.500
Si: 0.500 0.000 0.000
Si: 0.000 0.000 0.500
Si: 0.000 0.500 0.000
Li: 0.000 0.000 0.000

---

No. 3
DFT (PBE) results for Li2BeSi after structural relaxation.

Calculated values
- formation energy without anion corrections (eV/atom) = -0.030
- spin magnetization (μB per formula unit) = 0.00

a b c (Å): 3.920 2.713 5.210
angles (deg): 74.50 90.00 90.00
Fractional coordinates of all 4 atoms:
Be: 0.500 0.568 0.736
Si: 0.000 0.682 0.514
Li: 0.000 0.952 0.965
Li: 0.500 0.298 0.284

---

For reference, volume by record: 49.64; 80.08; 53.40 Å³/f.u..
For reference, VASP energy by record: -3.221; -3.265; -3.275 eV/atom.